(1)
{
  "formula": "MgGaSCl2",
  "functional": "PBE",
  "state": "optimized geometry",
  "lattice": [[4.9209, 0.0000, 0.0000], [0.0000, 4.9209, 0.0000], [0.0000, 0.0000, 5.0594]],
  "species": ["Mg", "Ga", "S", "Cl", "Cl"],
  "fractional_positions": [[0.0000, 0.0000, 0.0000], [0.5000, 0.5000, 0.5000], [0.0000, 0.0000, 0.5000], [0.0000, 0.5000, 0.0000], [0.5000, 0.0000, 0.0000]],
  "de_polymorph_ev_per_atom": 0.000,
  "crystal_system": "tetragonal"
}

---

(2)
{
  "formula": "MgGaSCl2",
  "functional": "PBE",
  "state": "optimized geometry",
  "lattice": [[6.0441, 0.0000, 0.0000], [0.0000, 6.0441, 0.0000], [0.0000, 0.0000, 4.4019]],
  "species": ["Mg", "Ga", "S", "Cl", "Cl"],
  "fractional_positions": [[0.0000, 0.0000, 0.0000], [0.5000, 0.5000, 0.0000], [0.0000, 0.0000, 0.5000], [0.0000, 0.5000, 0.5000], [0.5000, 0.0000, 0.5000]],
  "de_polymorph_ev_per_atom": 0.571,
  "crystal_system": "tetragonal"
}

---

(3)
{
  "formula": "MgScGaCl6",
  "functional": "PBE",
  "state": "optimized geometry",
  "lattice": [[6.5434, 0.0000, 0.0000], [-3.2717, 5.6668, 0.0000], [0.0000, 0.0000, 13.2497]],
  "species": ["Mg", "Mg", "Sc", "Sc", "Ga", "Ga", "Cl", "Cl", "Cl", "Cl", "Cl", "Cl", "Cl", "Cl", "Cl", "Cl", "Cl", "Cl"],
  "fractional_positions": [[0.3333, 0.6667, 0.2500], [0.6667, 0.3333, 0.7500], [0.3333, 0.6667, 0.7500], [0.6667, 0.3333, 0.2500], [0.0000, 0.0000, 0.0000], [0.0000, 0.0000, 0.5000], [0.0018, 0.3701, 0.6422], [0.0018, 0.6317, 0.8578], [0.3683, 0.3701, 0.8578], [0.3683, 0.9982, 0.6422], [0.3701, 0.0018, 0.1422], [0.3701, 0.3683, 0.3578], [0.6299, 0.6317, 0.6422], [0.6299, 0.9982, 0.8578], [0.6317, 0.0018, 0.3578], [0.6317, 0.6299, 0.1422], [0.9982, 0.3683, 0.1422], [0.9982, 0.6299, 0.3578]],
  "crystal_system": "trigonal"
}

---

(4)
{
  "formula": "Mg2GaSnCl",
  "functional": "PBE",
  "state": "optimized geometry",
  "lattice": [[4.9438, 0.0000, 0.0000], [0.0000, 4.9438, 0.0000], [0.0000, 0.0000, 5.2522]],
  "species": ["Mg", "Mg", "Ga", "Sn", "Cl"],
  "fractional_positions": [[0.0000, 0.5000, 0.0000], [0.5000, 0.0000, 0.0000], [0.0000, 0.0000, 0.5000], [0.5000, 0.5000, 0.5000], [0.0000, 0.0000, 0.0000]],
  "crystal_system": "tetragonal"
}

---

(5)
{
  "formula": "MgTaGaCl2",
  "functional": "PBE",
  "state": "optimized geometry",
  "lattice": [[4.8928, 0.0000, 0.0000], [0.0000, 4.8928, 0.0000], [0.0000, 0.0000, 5.7139]],
  "species": ["Mg", "Ta", "Ga", "Cl", "Cl"],
  "fractional_positions": [[0.0000, 0.0000, 0.0000], [0.5000, 0.5000, 0.0000], [0.0000, 0.0000, 0.5000], [0.0000, 0.5000, 0.5000], [0.5000, 0.0000, 0.5000]],
  "crystal_system": "tetragonal"
}

---

(6)
{
  "formula": "MgTlGaCl4",
  "functional": "PBE",
  "state": "optimized geometry",
  "lattice": [[7.6010, 0.0000, 0.0000], [0.0000, 7.2831, 0.0000], [-3.0122, 0.0000, 8.2573]],
  "species": ["Mg", "Mg", "Tl", "Tl", "Ga", "Ga", "Cl", "Cl", "Cl", "Cl", "Cl", "Cl", "Cl", "Cl"],
  "fractional_positions": [[0.2374, 0.2500, 0.1912], [0.7626, 0.7500, 0.8088], [0.2374, 0.7500, 0.4640], [0.7626, 0.2500, 0.5360], [0.2902, 0.7500, 0.9898], [0.7098, 0.2500, 0.0102], [0.0286, 0.2500, 0.9220], [0.0730, 0.2500, 0.3712], [0.4469, 0.5012, 0.2454], [0.4469, 0.9988, 0.2454], [0.5531, 0.0012, 0.7546], [0.5531, 0.4988, 0.7546], [0.9270, 0.7500, 0.6288], [0.9714, 0.7500, 0.0780]],
  "crystal_system": "monoclinic"
}

---

(7)
{
  "formula": "MgTlGaCl2",
  "functional": "PBE",
  "state": "optimized geometry",
  "lattice": [[5.1676, 0.0000, 0.0000], [0.0000, 5.1676, 0.0000], [0.0000, 0.0000, 5.6077]],
  "species": ["Mg", "Tl", "Ga", "Cl", "Cl"],
  "fractional_positions": [[0.0000, 0.0000, 0.0000], [0.5000, 0.5000, 0.0000], [0.5000, 0.5000, 0.5000], [0.0000, 0.5000, 0.5000], [0.5000, 0.0000, 0.5000]],
  "crystal_system": "tetragonal"
}

---

(8)
{
  "formula": "MgZnGa2Cl",
  "functional": "PBE",
  "state": "optimized geometry",
  "lattice": [[5.3462, 0.0000, 0.0000], [0.0000, 5.3462, 0.0000], [0.0000, 0.0000, 4.8754]],
  "species": ["Mg", "Zn", "Ga", "Ga", "Cl"],
  "fractional_positions": [[0.0000, 0.0000, 0.0000], [0.5000, 0.5000, 0.0000], [0.0000, 0.5000, 0.5000], [0.5000, 0.0000, 0.5000], [0.5000, 0.5000, 0.5000]],
  "crystal_system": "tetragonal"
}

---

(9)
{
  "formula": "MnGa2Cl5",
  "functional": "PBE",
  "state": "optimized geometry",
  "lattice": [[2.4784, -6.9470, 0.0000], [2.4784, 6.9470, 0.0000], [0.0000, 0.0000, 11.9600]],
  "species": ["Mn", "Mn", "Ga", "Ga", "Ga", "Ga", "Cl", "Cl", "Cl", "Cl", "Cl", "Cl", "Cl", "Cl", "Cl", "Cl"],
  "fractional_positions": [[0.2146, 0.7854, 0.7500], [0.7854, 0.2146, 0.2500], [0.0898, 0.9102, 0.1368], [0.0898, 0.9102, 0.3632], [0.9102, 0.0898, 0.6368], [0.9102, 0.0898, 0.8632], [0.0884, 0.9116, 0.5941], [0.0884, 0.9116, 0.9059], [0.2921, 0.7079, 0.2500], [0.3559, 0.6441, 0.6077], [0.3559, 0.6441, 0.8923], [0.6441, 0.3559, 0.1077], [0.6441, 0.3559, 0.3923], [0.7079, 0.2921, 0.7500], [0.9116, 0.0884, 0.0941], [0.9116, 0.0884, 0.4059]],
  "crystal_system": "orthorhombic"
}

---

(10)
{
  "formula": "MnGaCl4",
  "functional": "PBE",
  "state": "optimized geometry",
  "lattice": [[-3.1138, 3.1138, 5.4355], [3.1138, -3.1138, 5.4355], [3.1138, 3.1138, -5.4355]],
  "species": ["Mn", "Ga", "Cl", "Cl", "Cl", "Cl"],
  "fractional_positions": [[0.0000, 0.0000, 0.0000], [0.7500, 0.2500, 0.5000], [0.0740, 0.6382, 0.9568], [0.3618, 0.3186, 0.4358], [0.6814, 0.1172, 0.0432], [0.8828, 0.9260, 0.5642]],
  "de_polymorph_ev_per_atom": 0.000,
  "crystal_system": "tetragonal"
}

---

(11)
{
  "formula": "Mn2Ga2Cl7",
  "functional": "PBE",
  "state": "optimized geometry",
  "lattice": [[4.5304, -5.7747, 0.0000], [4.5304, 5.7747, 0.0000], [-1.1352, 0.0000, 6.3785]],
  "species": ["Mn", "Mn", "Ga", "Ga", "Cl", "Cl", "Cl", "Cl", "Cl", "Cl", "Cl"],
  "fractional_positions": [[0.2416, 0.2416, 0.4115], [0.7584, 0.7584, 0.5885], [0.3099, 0.6901, 0.0000], [0.6901, 0.3099, 0.0000], [0.0000, 0.0000, 0.5000], [0.0863, 0.4204, 0.2201], [0.3946, 0.3946, 0.7418], [0.4204, 0.0863, 0.2201], [0.5796, 0.9137, 0.7799], [0.6054, 0.6054, 0.2582], [0.9137, 0.5796, 0.7799]],
  "crystal_system": "monoclinic"
}

---

(12)
{
  "formula": "MnGa3Cl",
  "functional": "PBE",
  "state": "optimized geometry",
  "lattice": [[4.9375, 0.0000, 0.0000], [0.0000, 4.9375, 0.0000], [0.0000, 0.0000, 4.9375]],
  "species": ["Mn", "Ga", "Ga", "Ga", "Cl"],
  "fractional_positions": [[0.0000, 0.0000, 0.0000], [0.0000, 0.0000, 0.5000], [0.0000, 0.5000, 0.0000], [0.5000, 0.0000, 0.0000], [0.5000, 0.5000, 0.5000]],
  "de_polymorph_ev_per_atom": 0.000,
  "crystal_system": "cubic"
}

---

no.,size of the total moment (μB per cell),formation energy without anion corrections (kJ per mole of atoms),DOS(E_F) (states/eV per atom)
1,1.01,-74.2,0.5553
2,0.00,-19.1,0.6642
3,0.00,-165.9,0.0000
4,0.00,1.2,0.2905
5,2.94,87.1,1.6184
6,0.00,-121.8,0.0000
7,0.00,-31.4,0.1027
8,0.00,29.7,0.3731
9,9.97,-81.0,0.0623
10,3.99,-86.8,0.3856
11,8.98,-84.0,0.3076
12,2.86,4.2,0.7972